A relaxed ErSi2Ag4 crystal, computed with PBE-GGA.

## Properties
- total moment (μB/f.u.) = 0.0
- DOS(E_F) (states/eV/atom) = 0.36
- E_form (uncorrected) (meV per atom) = -231

```
data_ErSi2Ag4
_cell_length_a 4.132
_cell_length_b 15.210
_cell_length_c 4.075
_cell_angle_alpha 90.00
_cell_angle_beta 90.00
_cell_angle_gamma 90.00
_space_group_name_H-M_alt 'C m m m'
_space_group_IT_number 65
_space_group_name_Hall '-C 2 2'
loop_
_atom_site_label
_atom_site_fract_x
_atom_site_fract_y
_atom_site_fract_z
Er1 0.000 0.000 0.000
Si1 0.000 0.425 0.500
Ag1 0.000 0.177 0.500
Ag2 0.000 0.321 0.000
```

A relaxed ErSiAg crystal, computed with PBE-GGA.

## Properties
- total moment (μB/f.u.) = 0.0
- DOS(E_F) (states/eV/atom) = 0.36
- E_form (uncorrected) (meV per atom) = -485

```
data_ErSiAg
_cell_length_a 4.3937
_cell_length_b 4.3937
_cell_length_c 3.5888
_cell_angle_alpha 90.00
_cell_angle_beta 90.00
_cell_angle_gamma 120.00
_space_group_name_H-M_alt 'P -6 m 2'
_space_group_IT_number 187
_space_group_name_Hall 'P -6 2'
loop_
_atom_site_label
_atom_site_fract_x
_atom_site_fract_y
_atom_site_fract_z
Er1 0.0000 0.0000 0.0000
Si1 0.6667 0.3333 0.5000
Ag1 0.3333 0.6667 0.5000
```

A relaxed ErThSiAg crystal, computed with PBE-GGA.

## Properties
- total moment (μB/f.u.) = 0.0
- DOS(E_F) (states/eV/atom) = 1.01
- E_form (uncorrected) (meV per atom) = -311

```
data_ErThSiAg
_cell_length_a 7.236
_cell_length_b 7.236
_cell_length_c 7.236
_cell_angle_alpha 90.00
_cell_angle_beta 90.00
_cell_angle_gamma 90.00
_space_group_name_H-M_alt 'F -4 3 m'
_space_group_IT_number 216
_space_group_name_Hall 'F -4 2 3'
loop_
_atom_site_label
_atom_site_fract_x
_atom_site_fract_y
_atom_site_fract_z
Er1 0.000 0.000 0.000
Th1 0.000 0.000 0.500
Si1 0.250 0.250 0.250
Ag1 0.250 0.250 0.750
```

A relaxed ErTmSiAg crystal, computed with PBE-GGA.

## Properties
- total moment (μB/f.u.) = 0.0
- DOS(E_F) (states/eV/atom) = 0.81
- E_form (uncorrected) (meV per atom) = -435

```
data_ErTmSiAg
_cell_length_a 7.057
_cell_length_b 7.057
_cell_length_c 7.057
_cell_angle_alpha 90.00
_cell_angle_beta 90.00
_cell_angle_gamma 90.00
_space_group_name_H-M_alt 'F -4 3 m'
_space_group_IT_number 216
_space_group_name_Hall 'F -4 2 3'
loop_
_atom_site_label
_atom_site_fract_x
_atom_site_fract_y
_atom_site_fract_z
Er1 0.000 0.000 0.000
Tm1 0.000 0.000 0.500
Si1 0.250 0.250 0.750
Ag1 0.250 0.250 0.250
```

A relaxed YErSiAg crystal, computed with PBE-GGA.

## Properties
- total moment (μB/f.u.) = 0.0
- DOS(E_F) (states/eV/atom) = 0.85
- E_form (uncorrected) (meV per atom) = -450

```
data_YErSiAg
_cell_length_a 7.113
_cell_length_b 7.113
_cell_length_c 7.113
_cell_angle_alpha 90.00
_cell_angle_beta 90.00
_cell_angle_gamma 90.00
_space_group_name_H-M_alt 'F -4 3 m'
_space_group_IT_number 216
_space_group_name_Hall 'F -4 2 3'
loop_
_atom_site_label
_atom_site_fract_x
_atom_site_fract_y
_atom_site_fract_z
Y1 0.000 0.000 0.000
Er1 0.000 0.000 0.500
Si1 0.250 0.250 0.750
Ag1 0.250 0.250 0.250
```

A relaxed SmErAg4 crystal, computed with PBE-GGA.

## Properties
- energy above the lowest structure with this stoichiometry (meV/atom) = 0
- energy of formation (meV/atom) = -293
- total moment (μB/f.u.) = 0.0
- DOS(E_F) (states/eV/atom) = 0.50

```
data_SmErAg4
_cell_length_a 5.328
_cell_length_b 5.327
_cell_length_c 5.354
_cell_angle_alpha 90.00
_cell_angle_beta 119.62
_cell_angle_gamma 90.00
_space_group_name_H-M_alt 'P 1 m 1'
_space_group_IT_number 6
_space_group_name_Hall 'P -2y'
loop_
_atom_site_label
_atom_site_fract_x
_atom_site_fract_y
_atom_site_fract_z
Sm1 0.000 0.000 0.000
Er1 0.499 0.500 0.000
Ag1 0.171 0.500 0.345
Ag2 0.334 0.000 0.665
Ag3 0.667 0.000 0.335
Ag4 0.827 0.500 0.655
```

A relaxed SmErAg6 crystal, computed with PBE-GGA.

## Properties
- energy of formation (meV/atom) = -202
- total moment (μB/f.u.) = 0.0
- DOS(E_F) (states/eV/atom) = 0.54

```
data_SmErAg6
_cell_length_a 9.323
_cell_length_b 4.541
_cell_length_c 9.027
_cell_angle_alpha 90.00
_cell_angle_beta 118.71
_cell_angle_gamma 90.00
_space_group_name_H-M_alt 'C 1 2/m 1'
_space_group_IT_number 12
_space_group_name_Hall '-C 2y'
loop_
_atom_site_label
_atom_site_fract_x
_atom_site_fract_y
_atom_site_fract_z
Sm1 0.000 0.000 0.000
Er1 0.000 0.000 0.500
Ag1 0.004 0.500 0.747
Ag2 0.247 0.500 0.619
Ag3 0.249 0.000 0.868
```

A relaxed Sm2ErAg6 crystal, computed with PBE-GGA.

## Properties
- energy of formation (meV/atom) = -249
- total moment (μB/f.u.) = 0.0
- DOS(E_F) (states/eV/atom) = 0.76

```
data_Sm2ErAg6
_cell_length_a 8.2814
_cell_length_b 8.2814
_cell_length_c 3.4627
_cell_angle_alpha 90.00
_cell_angle_beta 90.00
_cell_angle_gamma 120.00
_space_group_name_H-M_alt 'P 6/m m m'
_space_group_IT_number 191
_space_group_name_Hall '-P 6 2'
loop_
_atom_site_label
_atom_site_fract_x
_atom_site_fract_y
_atom_site_fract_z
Sm1 0.3333 0.6667 0.0000
Er1 0.0000 0.0000 0.0000
Ag1 0.0000 0.3314 0.5000
```

A relaxed SmEr5Ag6 crystal, computed with PBE-GGA.

## Properties
- energy of formation (meV/atom) = -325
- total moment (μB/f.u.) = 0.0
- DOS(E_F) (states/eV/atom) = 0.48

```
data_SmEr5Ag6
_cell_length_a 5.145
_cell_length_b 15.441
_cell_length_c 7.187
_cell_angle_alpha 90.00
_cell_angle_beta 90.00
_cell_angle_gamma 90.00
_space_group_name_H-M_alt 'C m m m'
_space_group_IT_number 65
_space_group_name_Hall '-C 2 2'
loop_
_atom_site_label
_atom_site_fract_x
_atom_site_fract_y
_atom_site_fract_z
Sm1 0.000 0.000 0.000
Er1 0.000 0.000 0.500
Er2 0.000 0.332 0.000
Er3 0.000 0.334 0.500
Ag1 0.000 0.170 0.254
Ag2 0.000 0.500 0.258
```

A relaxed Sm2Er2Ag crystal, computed with PBE-GGA.

## Properties
- energy of formation (meV/atom) = -105
- total moment (μB/f.u.) = 0.0
- DOS(E_F) (states/eV/atom) = 1.27

```
data_Sm2Er2Ag
_cell_length_a 3.574
_cell_length_b 3.574
_cell_length_c 22.799
_cell_angle_alpha 90.00
_cell_angle_beta 90.00
_cell_angle_gamma 90.00
_space_group_name_H-M_alt 'I 4/m m m'
_space_group_IT_number 139
_space_group_name_Hall '-I 4 2'
loop_
_atom_site_label
_atom_site_fract_x
_atom_site_fract_y
_atom_site_fract_z
Sm1 0.000 0.000 0.193
Er1 0.000 0.000 0.419
Ag1 0.000 0.000 0.000
```

A relaxed SmErAg4 crystal, computed with PBE-GGA.

## Properties
- energy above the lowest structure with this stoichiometry (meV/atom) = 127
- energy of formation (meV/atom) = -166
- total moment (μB/f.u.) = 0.0
- DOS(E_F) (states/eV/atom) = 0.81

```
data_SmErAg4
_cell_length_a 8.089
_cell_length_b 8.089
_cell_length_c 8.089
_cell_angle_alpha 90.00
_cell_angle_beta 90.00
_cell_angle_gamma 90.00
_space_group_name_H-M_alt 'F -4 3 m'
_space_group_IT_number 216
_space_group_name_Hall 'F -4 2 3'
loop_
_atom_site_label
_atom_site_fract_x
_atom_site_fract_y
_atom_site_fract_z
Sm1 0.000 0.000 0.000
Er1 0.250 0.250 0.250
Ag1 0.125 0.125 0.625
```

A relaxed SmErAg crystal, computed with PBE-GGA.

## Properties
- energy above the lowest structure with this stoichiometry (meV/atom) = 141
- energy of formation (meV/atom) = -29
- total moment (μB/f.u.) = 0.0
- DOS(E_F) (states/eV/atom) = 0.94

```
data_SmErAg
_cell_length_a 5.0617
_cell_length_b 5.0617
_cell_length_c 3.7049
_cell_angle_alpha 90.00
_cell_angle_beta 90.00
_cell_angle_gamma 120.00
_space_group_name_H-M_alt 'P 3 m 1'
_space_group_IT_number 156
_space_group_name_Hall 'P 3 -2"'
loop_
_atom_site_label
_atom_site_fract_x
_atom_site_fract_y
_atom_site_fract_z
Sm1 0.0000 0.0000 0.0000
Er1 0.3333 0.6667 0.5401
Ag1 0.6667 0.3333 0.3290
```

A relaxed Sm5ErAg6 crystal, computed with PBE-GGA.

## Properties
- energy of formation (meV/atom) = -288
- total moment (μB/f.u.) = 0.0
- DOS(E_F) (states/eV/atom) = 0.59

```
data_Sm5ErAg6
_cell_length_a 5.249
_cell_length_b 15.770
_cell_length_c 7.317
_cell_angle_alpha 90.00
_cell_angle_beta 90.00
_cell_angle_gamma 90.00
_space_group_name_H-M_alt 'C m m m'
_space_group_IT_number 65
_space_group_name_Hall '-C 2 2'
loop_
_atom_site_label
_atom_site_fract_x
_atom_site_fract_y
_atom_site_fract_z
Sm1 0.000 0.000 0.000
Sm2 0.000 0.332 0.000
Sm3 0.000 0.334 0.500
Er1 0.000 0.000 0.500
Ag1 0.000 0.164 0.254
Ag2 0.000 0.500 0.257
```

A relaxed Sm3ErAg4 crystal, computed with PBE-GGA.

## Properties
- energy of formation (meV/atom) = -293
- total moment (μB/f.u.) = 0.0
- DOS(E_F) (states/eV/atom) = 0.66

```
data_Sm3ErAg4
_cell_length_a 3.665
_cell_length_b 3.665
_cell_length_c 14.883
_cell_angle_alpha 90.00
_cell_angle_beta 90.00
_cell_angle_gamma 90.00
_space_group_name_H-M_alt 'P 4/m m m'
_space_group_IT_number 123
_space_group_name_Hall '-P 4 2'
loop_
_atom_site_label
_atom_site_fract_x
_atom_site_fract_y
_atom_site_fract_z
Sm1 0.000 0.000 0.000
Sm2 0.000 0.000 0.254
Er1 0.000 0.000 0.500
Ag1 0.500 0.500 0.126
Ag2 0.500 0.500 0.384
```

A relaxed Sm3Er4Ag4 crystal, computed with PBE-GGA.

## Properties
- energy of formation (meV/atom) = -124
- total moment (μB/f.u.) = 0.0
- DOS(E_F) (states/eV/atom) = 0.93

```
data_Sm3Er4Ag4
_cell_length_a 5.011
_cell_length_b 7.594
_cell_length_c 15.779
_cell_angle_alpha 90.00
_cell_angle_beta 90.00
_cell_angle_gamma 90.00
_space_group_name_H-M_alt 'I m m m'
_space_group_IT_number 71
_space_group_name_Hall '-I 2 2'
loop_
_atom_site_label
_atom_site_fract_x
_atom_site_fract_y
_atom_site_fract_z
Sm1 0.000 0.000 0.000
Sm2 0.000 0.500 0.106
Er1 0.000 0.281 0.325
Ag1 0.000 0.000 0.200
Ag2 0.000 0.187 0.500
```

A relaxed Sm3ErAg2 crystal, computed with PBE-GGA.

## Properties
- energy of formation (meV/atom) = -171
- total moment (μB/f.u.) = 0.0
- DOS(E_F) (states/eV/atom) = 1.12

```
data_Sm3ErAg2
_cell_length_a 5.188
_cell_length_b 9.299
_cell_length_c 6.957
_cell_angle_alpha 90.00
_cell_angle_beta 90.00
_cell_angle_gamma 90.00
_space_group_name_H-M_alt 'P m c 21'
_space_group_IT_number 26
_space_group_name_Hall 'P 2c -2'
loop_
_atom_site_label
_atom_site_fract_x
_atom_site_fract_y
_atom_site_fract_z
Sm1 0.000 0.062 0.000
Sm2 0.000 0.334 0.350
Sm3 0.500 0.171 0.668
Er1 0.500 0.440 0.021
Ag1 0.000 0.349 0.782
Ag2 0.500 0.156 0.237
```

A relaxed SmEr4Ag5 crystal, computed with PBE-GGA.

## Properties
- energy of formation (meV/atom) = -326
- total moment (μB/f.u.) = 0.0
- DOS(E_F) (states/eV/atom) = 0.45

```
data_SmEr4Ag5
_cell_length_a 3.589
_cell_length_b 3.589
_cell_length_c 18.472
_cell_angle_alpha 90.00
_cell_angle_beta 90.00
_cell_angle_gamma 90.00
_space_group_name_H-M_alt 'P 4/m m m'
_space_group_IT_number 123
_space_group_name_Hall '-P 4 2'
loop_
_atom_site_label
_atom_site_fract_x
_atom_site_fract_y
_atom_site_fract_z
Sm1 0.000 0.000 0.000
Er1 0.000 0.000 0.204
Er2 0.000 0.000 0.401
Ag1 0.500 0.500 0.108
Ag2 0.500 0.500 0.303
Ag3 0.500 0.500 0.500
```

A relaxed SmErAg crystal, computed with PBE-GGA.

## Properties
- energy above the lowest structure with this stoichiometry (meV/atom) = 48
- energy of formation (meV/atom) = -122
- total moment (μB/f.u.) = 0.0
- DOS(E_F) (states/eV/atom) = 1.43

```
data_SmErAg
_cell_length_a 4.775
_cell_length_b 4.775
_cell_length_c 7.491
_cell_angle_alpha 90.00
_cell_angle_beta 90.00
_cell_angle_gamma 90.00
_space_group_name_H-M_alt 'P 4/n m m'
_space_group_IT_number 129
loop_
_space_group_symop_operation_xyz
'x,y,z'
'-x,-y,-z'
'-y+1/2,x,z'
'y+1/2,-x,-z'
'-x+1/2,-y+1/2,z'
'x+1/2,y+1/2,-z'
'y,-x+1/2,z'
'-y,x+1/2,-z'
'x+1/2,-y,-z'
'-x+1/2,y,z'
'-y,-x,-z'
'y,x,z'
'-x,y+1/2,-z'
'x,-y+1/2,z'
'y+1/2,x+1/2,-z'
'-y+1/2,-x+1/2,z'
loop_
_atom_site_label
_atom_site_fract_x
_atom_site_fract_y
_atom_site_fract_z
Sm1 0.250 0.250 0.129
Er1 0.250 0.750 0.500
Ag1 0.250 0.250 0.741
```

A relaxed SmEr4Ag crystal, computed with PBE-GGA.

## Properties
- energy above the lowest structure with this stoichiometry (meV/atom) = 0
- energy of formation (meV/atom) = -78
- total moment (μB/f.u.) = 0.0
- DOS(E_F) (states/eV/atom) = 1.36

```
data_SmEr4Ag
_cell_length_a 3.537
_cell_length_b 3.537
_cell_length_c 13.839
_cell_angle_alpha 90.00
_cell_angle_beta 90.00
_cell_angle_gamma 90.00
_space_group_name_H-M_alt 'P 4/m m m'
_space_group_IT_number 123
_space_group_name_Hall '-P 4 2'
loop_
_atom_site_label
_atom_site_fract_x
_atom_site_fract_y
_atom_site_fract_z
Sm1 0.000 0.000 0.000
Er1 0.000 0.000 0.364
Er2 0.500 0.500 0.183
Ag1 0.500 0.500 0.500
```

A relaxed SmEr4Ag crystal, computed with PBE-GGA.

## Properties
- energy above the lowest structure with this stoichiometry (meV/atom) = 132
- energy of formation (meV/atom) = 54
- total moment (μB/f.u.) = 0.0
- DOS(E_F) (states/eV/atom) = 1.54

```
data_SmEr4Ag
_cell_length_a 5.383
_cell_length_b 20.883
_cell_length_c 6.429
_cell_angle_alpha 90.00
_cell_angle_beta 90.00
_cell_angle_gamma 90.00
_space_group_name_H-M_alt 'C m c 21'
_space_group_IT_number 36
_space_group_name_Hall 'C 2c -2'
loop_
_atom_site_label
_atom_site_fract_x
_atom_site_fract_y
_atom_site_fract_z
Sm1 0.000 0.136 0.000
Er1 0.000 0.067 0.508
Er2 0.000 0.259 0.630
Er3 0.000 0.325 0.141
Er4 0.000 0.465 0.346
Ag1 0.000 0.398 0.754
```